{"formula": "Pa2InSn5", "functional": "PBE", "state": "relaxed", "spacegroup": "Pbam", "e_form_mev_per_atom": -292, "m_tot_mub_per_fu": 0.00, "n_ef_per_ev_cell": 17.54, "dft_energy_ev_per_atom": -5.51, "lattice_angstrom": [[6.560, 0.000, 0.000], [0.000, 13.124, 0.000], [0.000, 0.000, 4.655]], "species": ["Pa", "Pa", "Pa", "Pa", "In", "In", "Sn", "Sn", "Sn", "Sn", "Sn", "Sn", "Sn", "Sn", "Sn", "Sn"], "fractional_positions": [[0.232, 0.129, 0.000], [0.268, 0.629, 0.000], [0.732, 0.371, 0.000], [0.768, 0.871, 0.000], [0.000, 0.500, 0.500], [0.500, 0.000, 0.500], [0.000, 0.000, 0.500], [0.018, 0.749, 0.500], [0.234, 0.379, 0.000], [0.266, 0.879, 0.000], [0.482, 0.249, 0.500], [0.500, 0.500, 0.500], [0.518, 0.751, 0.500], [0.734, 0.121, 0.000], [0.766, 0.621, 0.000], [0.982, 0.251, 0.500]]}